Below is crystalline BiTe3Pt at its relaxed geometry, with properties calculated at the PBE level.

Unit cell a=5.821 b=5.821 c=5.821 alpha=90.00 beta=90.00 gamma=90.00
Each line ends with the local moment (μB).
Atoms (fractional coordinates):
Te1 0.000 0.500 0.000  0.19
Te2 0.500 0.000 0.000  0.12
Te3 0.000 0.000 0.500  0.14
Bi1 0.000 0.000 0.000  -0.01
Pt1 0.500 0.500 0.500  0.60

Summary:
**Energy above the lowest structure with this stoichiometry**: 101.11 kJ per mole of atoms
**E_form (uncorrected)**: 1263 meV/atom
**Space group**: Pm-3m
**Size of the total moment**: 1.42 μB/f.u.
**Calculated volume**: 39.455 Å³/atom